A plane-wave DFT calculation with GGA-PBE was carried out for crystalline TmReTe at its relaxed geometry.

Calculated values
Crystal system   triclinic
Calculated total energy   -41.6 eV for the cell shown

abc: 4.5802 5.8877 5.9861
angles: 76.10 67.55 67.19
Last column: nearest neighbours and their distance in Å.
Space group P-1 (No. 2)
Asymmetric unit:
Tm: 0.0694 0.1915 0.1694 x2  5 Re 3.09-3.23, 4 Te 3.18-3.34
Re: 0.3590 0.6101 0.1721 x2  1 Re 2.36
Te: 0.3161 0.2750 0.5919 x2  3 Re 2.74-2.79


A plane-wave DFT calculation with GGA-PBE was carried out for crystalline VReTe2 at its relaxed geometry.

Calculated values
Crystal system   tetragonal
Calculated total energy   -100.2 eV for the cell shown

abc: 6.0103 6.0103 12.4407
angles: 90.00 90.00 90.00
Last column: nearest neighbours and their distance in Å.
Space group I-42d (No. 122)
Asymmetric unit:
V: 0.0000 0.0000 0.0000 x4  4 Te 2.68
Re: 0.0000 0.0000 0.5000 x4  4 Te 2.59
Te: 0.2362 0.2500 0.6250 x8  2 Re 2.59, 2 V 2.68


A plane-wave DFT calculation with GGA-PBE was carried out for crystalline VReTe at its relaxed geometry.

Calculated values
Crystal system   hexagonal
Calculated total energy   -47.2 eV for the cell shown

abc: 4.0572 4.0572 8.7132
angles: 90.00 90.00 120.00
Last column: nearest neighbours and their distance in Å.
Space group P-6m2 (No. 187)
Asymmetric unit:
V: 0.0000 0.0000 0.0000 x1  6 Te 2.87, 2 Re 3.18
V: 0.3333 0.6667 0.5000 x1  6 Re 2.62, 2 Te 2.70
Re: 0.0000 0.0000 0.3652 x2  1 Re 2.35, 3 V 2.62
Te: 0.3333 0.6667 0.1898 x2  4 V 2.70-2.87, 3 Re 2.80


A plane-wave DFT calculation with GGA-PBE was carried out for crystalline VReTe2 at its relaxed geometry.

Calculated values
Crystal system   trigonal
Calculated total energy   -76.1 eV for the cell shown

abc: 3.2235 3.2235 26.8166
angles: 90.00 90.00 120.00
Last column: nearest neighbours and their distance in Å.
Space group R-3m (No. 166, hexagonal axes)
Asymmetric unit:
V: 0.0000 0.0000 0.0000 x3  6 Te 2.65
Re: 0.0000 0.0000 0.5000 x3  2 Te 2.58
Te: 0.0000 0.0000 0.4038 x6  1 Re 2.58, 3 V 2.65


A plane-wave DFT calculation with GGA-PBE was carried out for crystalline VReTe2 at its relaxed geometry.

Calculated values
Crystal system   cubic
Calculated total energy   -103.6 eV for the cell shown

abc: 6.5989 6.5989 6.5989
angles: 90.00 90.00 90.00
Last column: nearest neighbours and their distance in Å.
Space group Fm-3m (No. 225)
Asymmetric unit:
V: 0.0000 0.0000 0.0000 x4  8 Te 2.86
Re: 0.0000 0.0000 0.5000 x4  8 Te 2.86
Te: 0.2500 0.2500 0.2500 x8  4 Re 2.86, 4 V 2.86


A plane-wave DFT calculation with GGA-PBE was carried out for crystalline ReTe2W at its relaxed geometry.

Calculated values
Crystal system   tetragonal
Calculated total energy   -28.5 eV for the cell shown

abc: 3.3215 3.3215 6.6304
angles: 90.00 90.00 90.00
Last column: nearest neighbours and their distance in Å.
Space group P4/mmm (No. 123)
Asymmetric unit:
Re: 0.0000 0.0000 0.0000 x1  8 Te 2.88
Te: 0.5000 0.5000 0.2504 x2  4 W 2.87, 4 Re 2.88
W: 0.0000 0.0000 0.5000 x1  8 Te 2.87


A plane-wave DFT calculation with GGA-PBE was carried out for crystalline ReTe2W at its relaxed geometry.

Calculated values
Crystal system   trigonal
Calculated total energy   -85.4 eV for the cell shown

abc: 3.2189 3.2189 25.2417
angles: 90.00 90.00 120.00
Last column: nearest neighbours and their distance in Å.
Space group R-3m (No. 166, hexagonal axes)
Asymmetric unit:
Re: 0.0000 0.0000 0.0000 x3  6 Te 2.79
Te: 0.0000 0.0000 0.2509 x6  3 Re 2.79, 3 W 2.82
W: 0.0000 0.0000 0.5000 x3  6 Te 2.82


A plane-wave DFT calculation with GGA-PBE was carried out for crystalline Re4TeW at its relaxed geometry.

Calculated values
Crystal system   cubic
Calculated total energy   -244.3 eV for the cell shown

abc: 7.4307 7.4307 7.4307
angles: 90.00 90.00 90.00
Last column: nearest neighbours and their distance in Å.
Space group F-43m (No. 216)
Asymmetric unit:
Re: 0.1250 0.1250 0.1250 x16  6 Re 2.63
Te: 0.2500 0.2500 0.7500 x4  12 Re 3.08, 4 W 3.22
W: 0.0000 0.0000 0.5000 x4  12 Re 3.08, 4 Te 3.22